[1]
Density functional theory data (PBE) for Ac2TbScS6 after structural relaxation.

a b c (Å): 6.851 7.435 12.052
angles (deg): 90.00 124.13 90.00
Space group P2_1/c (No. 14)
Asymmetric unit:
Ac (0.220, 0.087, 0.249) x4
Tb (0.500, 0.000, 0.000) x2
Sc (0.000, 0.000, 0.500) x2
S (0.119, 0.198, 0.941) x4
S (0.250, 0.686, 0.942) x4
S (0.358, 0.034, 0.742) x4

Calculated values
- mass density (g cm⁻³) = 5.6
- volume (Å³/atom) = 25.4
- N(E_F) (states/eV/atom) = 0.00
- E (eV/atom) = -6.5148

***

[2]
Density functional theory data (PBE) for Ac2TbScS5 after structural relaxation.

a b c (Å): 4.088 16.767 12.721
angles (deg): 90.00 90.00 90.00
Space group Cmc2_1 (No. 36)
Asymmetric unit:
Ac (0.000, 0.106, 0.000) x4
Ac (0.000, 0.143, 0.619) x4
Tb (0.000, 0.208, 0.325) x4
Sc (0.000, 0.471, 0.771) x4
S (0.000, 0.053, 0.381) x4
S (0.000, 0.281, 0.973) x4
S (0.000, 0.325, 0.680) x4
S (0.000, 0.373, 0.312) x4
S (0.000, 0.487, 0.084) x4

Calculated values
- mass density (g cm⁻³) = 6.2
- volume (Å³/atom) = 24.2
- N(E_F) (states/eV/atom) = 0.65
- E (eV/atom) = -6.4377

***

[3]
Density functional theory data (PBE) for Ac3ScTl3S8 after structural relaxation.

a b c (Å): 8.6038 8.6038 21.7815
angles (deg): 90.00 90.00 120.00
Space group R-3m (No. 166, hexagonal axes)
Asymmetric unit:
Ac (0.0000, 0.5000, 0.0000) x9
Sc (0.0000, 0.0000, 0.0000) x3
Tl (0.0000, 0.5000, 0.5000) x9
S (0.0000, 0.0000, 0.2602) x6
S (0.0352, 0.5176, 0.7334) x18

Calculated values
- mass density (g cm⁻³) = 5.7
- volume (Å³/atom) = 31.0
- N(E_F) (states/eV/atom) = 0.49
- E (eV/atom) = -5.3610

***

[4]
Density functional theory data (PBE) for Ac2ScTl3S6 after structural relaxation.

a b c (Å): 7.353 12.673 7.818
angles (deg): 90.00 108.03 90.00
Space group C2/m (No. 12)
Asymmetric unit:
Ac (0.000, 0.167, 0.000) x4
Sc (0.000, 0.500, 0.000) x2
Tl (0.000, 0.000, 0.500) x2
Tl (0.000, 0.335, 0.500) x4
S (0.217, 0.350, 0.199) x8
S (0.233, 0.500, 0.792) x4

Calculated values
- mass density (g cm⁻³) = 6.3
- volume (Å³/atom) = 28.9
- N(E_F) (states/eV/atom) = 0.00
- E (eV/atom) = -5.2947

***

[5]
Density functional theory data (PBE) for Ac2TmScS6 after structural relaxation.

a b c (Å): 6.815 7.388 12.001
angles (deg): 90.00 124.27 90.00
Space group P2_1/c (No. 14)
Asymmetric unit:
Ac (0.221, 0.087, 0.249) x4
Tm (0.500, 0.000, 0.000) x2
Sc (0.000, 0.000, 0.500) x2
S (0.125, 0.196, 0.943) x4
S (0.254, 0.688, 0.945) x4
S (0.356, 0.030, 0.745) x4

Calculated values
- mass density (g cm⁻³) = 5.7
- volume (Å³/atom) = 25.0
- N(E_F) (states/eV/atom) = 0.00
- E (eV/atom) = -6.5099

***

[6]
Density functional theory data (PBE) for Ac2ScUS6 after structural relaxation.

a b c (Å): 7.1804 7.1804 18.0738
angles (deg): 90.00 90.00 120.00
Space group R3 (No. 146, hexagonal axes)
Asymmetric unit:
Ac (0.0000, 0.0000, 0.0000) x3
Ac (0.0000, 0.0000, 0.4988) x3
Sc (0.0000, 0.0000, 0.2846) x3
U (0.0000, 0.0000, 0.7835) x3
S (0.0060, 0.4033, 0.5443) x9
S (0.0229, 0.6106, 0.0407) x9

Calculated values
- mass density (g cm⁻³) = 5.7
- volume (Å³/atom) = 26.9
- N(E_F) (states/eV/atom) = 0.85
- E (eV/atom) = -6.8925